(1)
Density functional theory data (GGA-PBE) for a geometry-optimized ErTmNiPt structure.

Computed properties:
SG = Amm2, No. 38
DOS at the Fermi energy = 2.71 states/eV per cell

abc: 4.2701 5.4602 5.4602
angles: 40.44 90.00 90.00
Fractional coordinates of all 4 atoms:
1 Er 0.0000 0.0000 0.0000
2 Tm 0.5000 0.7190 0.7190
3 Ni 0.0000 0.2780 0.2780
4 Pt 0.5000 0.4365 0.4365



(2)
Density functional theory data (GGA-PBE) for a geometry-optimized ErTmNiPt structure.

Computed properties:
SG = F-43m, No. 216
DOS at the Fermi energy = 3.01 states/eV per cell

abc: 4.8190 4.8190 4.8190
angles: 60.00 60.00 60.00
Fractional coordinates of all 4 atoms:
1 Er 0.0000 0.0000 0.0000
2 Tm 0.5000 0.5000 0.5000
3 Ni 0.2500 0.2500 0.2500
4 Pt 0.7500 0.7500 0.7500



(3)
Density functional theory data (GGA-PBE) for a geometry-optimized ErZnNiPt structure.

Computed properties:
SG = F-43m, No. 216
DOS at the Fermi energy = 2.34 states/eV per cell

abc: 4.5612 4.5612 4.5612
angles: 60.00 60.00 60.00
Fractional coordinates of all 4 atoms:
1 Er 0.0000 0.0000 0.0000
2 Zn 0.5000 0.5000 0.5000
3 Ni 0.2500 0.2500 0.2500
4 Pt 0.7500 0.7500 0.7500



| no. | energy of formation (eV per formula unit) |
| --- | --- |
| 1 | -3.6 |
| 2 | -3.5 |
| 3 | -2.5 |